{
  "formula": "ZrTiCuS4",
  "functional": "PBE-GGA",
  "state": "relaxed",
  "lattice": [[-3.148, 5.207, -3.926], [-0.980, -4.700, -5.421], [-2.521, -1.434, 6.635]],
  "species": ["Zr", "Zr", "Ti", "Ti", "Cu", "Cu", "S", "S", "S", "S", "S", "S", "S", "S"],
  "fractional_positions": [[0.000, 0.000, 0.000], [0.500, 0.000, 0.500], [0.000, 0.000, 0.500], [0.000, 0.500, 0.000], [0.381, 0.631, 0.750], [0.619, 0.369, 0.250], [0.242, 0.741, 0.999], [0.242, 0.243, 0.501], [0.234, 0.748, 0.486], [0.763, 0.748, 0.014], [0.758, 0.259, 0.001], [0.758, 0.757, 0.499], [0.766, 0.252, 0.514], [0.237, 0.252, 0.986]],
  "magmom_total_mub_per_fu": 0.0,
  "dft_energy_ev_per_atom": -6.519,
  "space_group": "Imma, No. 74",
  "raw_formation_energy_ev_per_atom": -1.227
}